Record 1
Compound: Gd2Er3Hg3
Source: OQMD
Functional: PBE-GGA
Structure: relaxed

Cell: 6.9526 6.9526 5.1743 Å, 90.00 90.00 120.00°
Space group P-6m2 (No. 187)
Asymmetric unit:
Gd 0.0000 0.0000 0.0000 [1 per cell]
Gd 0.3333 0.6667 0.5000 [1 per cell]
Er 0.5035 0.0069 0.0000 [3 per cell]
Hg 0.3414 0.1707 0.5000 [3 per cell]

calculated volume	217	Å³/cell
magnetic moment	0.0570	μB per atom
energy relative to the elements	-0.1635	eV/atom
E above lowest polymorph	97	meV per atom

***

Record 2
Compound: Gd2ErHg5
Source: OQMD
Functional: PBE-GGA
Structure: relaxed

Cell: 5.1235 7.3844 10.5046 Å, 90.00 90.00 90.00°
Space group Amm2 (No. 38)
Asymmetric unit:
Gd 0.0000 0.0000 0.0000 [2 per cell]
Gd 0.5000 0.0000 0.3040 [2 per cell]
Er 0.5000 0.0000 0.7455 [2 per cell]
Hg 0.0000 0.0000 0.4979 [2 per cell]
Hg 0.0000 0.2458 0.7462 [4 per cell]
Hg 0.5000 0.2232 0.0301 [4 per cell]

calculated volume	397	Å³/cell
magnetic moment	0.0029	μB per atom
energy relative to the elements	-0.4286	eV/atom

***

Record 3
Compound: Gd2Er3Hg3
Source: OQMD
Functional: PBE-GGA
Structure: relaxed

Cell: 5.5752 7.2976 10.6735 Å, 90.00 90.00 90.00°
Space group Amm2 (No. 38)
Asymmetric unit:
Gd 0.0000 0.0000 0.0000 [2 per cell]
Gd 0.5000 0.0000 0.3613 [2 per cell]
Er 0.0000 0.0000 0.5564 [2 per cell]
Er 0.5000 0.2426 0.6172 [4 per cell]
Hg 0.0000 0.2100 0.2748 [4 per cell]
Hg 0.5000 0.0000 0.8629 [2 per cell]

calculated volume	434	Å³/cell
magnetic moment	0.0061	μB per atom
energy relative to the elements	-0.1920	eV/atom
E above lowest polymorph	69	meV per atom

***

Record 4
Compound: Gd2Er3Hg3
Source: OQMD
Functional: PBE-GGA
Structure: relaxed

Cell: 6.6068 5.3844 6.6223 Å, 90.00 116.22 90.00°
Space group Pm (No. 6)
Asymmetric unit:
Gd 0.0000 0.0000 0.0000 [1 per cell]
Gd 0.2903 0.5000 0.6941 [1 per cell]
Er 0.4886 0.0000 0.0138 [1 per cell]
Er 0.5051 0.0000 0.5049 [1 per cell]
Er 0.8086 0.5000 0.2189 [1 per cell]
Hg 0.3140 0.5000 0.1949 [1 per cell]
Hg 0.7989 0.5000 0.6978 [1 per cell]
Hg 0.9949 0.0000 0.5016 [1 per cell]

calculated volume	211	Å³/cell
magnetic moment	0.0146	μB per atom
energy relative to the elements	-0.2606	eV/atom
E above lowest polymorph	0	meV per atom